VASP calculation (PBE) on a relaxed CaSm12In6 crystal.

Output
* V: 30.53 A^3/atom
* uncorrected energy: -78.5 eV for the cell shown
* formation enthalpy at 0 K: -0.183 eV/atom
* total moment: 0.000 μB per atom

Cell: 9.290 9.290 9.290 Å, 110.99 110.99 110.99°
Fractional positions:
Ca 0.000 0.000 0.000
Sm 0.097 0.728 0.182
Sm 0.182 0.097 0.728
Sm 0.200 0.479 0.334
Sm 0.272 0.818 0.903
Sm 0.334 0.200 0.479
Sm 0.479 0.334 0.200
Sm 0.521 0.666 0.800
Sm 0.666 0.800 0.521
Sm 0.728 0.182 0.097
Sm 0.800 0.521 0.666
Sm 0.818 0.903 0.272
Sm 0.903 0.272 0.818
In 0.068 0.359 0.579
In 0.359 0.579 0.068
In 0.421 0.932 0.641
In 0.579 0.068 0.359
In 0.641 0.421 0.932
In 0.932 0.641 0.421